Entry 1:
A plane-wave DFT calculation with PBE+U was carried out for TmMnBi2O6 after structural relaxation.

a = 5.972 Å, b = 5.946 Å, c = 5.825 Å
α = 61.76°, β = 61.71°, γ = 56.20°
Fractional positions:
Tm: 0.312 0.301 0.071
Mn: 0.813 0.823 0.548
Bi: 0.513 0.528 0.422
Bi: 0.041 0.009 0.914
O: 0.594 0.150 0.298
O: 0.171 0.974 0.245
O: 0.970 0.637 0.260
O: 0.467 0.654 0.770
O: 0.675 0.079 0.757
O: 0.106 0.507 0.729



Entry 2:
A plane-wave DFT calculation with PBE+U was carried out for Ga2CoTeO6 after structural relaxation.

Values from the calculation:
D(E_F)	0.0	states/eV/cell

a = 5.584 Å, b = 6.807 Å, c = 6.807 Å
α = 80.70°, β = 80.33°, γ = 80.33°
Fractional positions:
Ga: 0.234 0.806 0.612
Ga: 0.266 0.388 0.194
Ga: 0.766 0.194 0.388
Ga: 0.734 0.612 0.806
Co: 0.250 0.906 0.094
Co: 0.750 0.094 0.906
Te: 0.250 0.280 0.720
Te: 0.750 0.720 0.280
O: 0.142 0.005 0.793
O: 0.358 0.207 0.995
O: 0.858 0.995 0.207
O: 0.642 0.793 0.005
O: 0.394 0.880 0.353
O: 0.106 0.647 0.120
O: 0.606 0.120 0.647
O: 0.894 0.353 0.880
O: 0.939 0.728 0.592
O: 0.561 0.408 0.272
O: 0.061 0.272 0.408
O: 0.439 0.592 0.728



Short version: VASP energy = -6.83; -5.84 eV/atom, in the order given.